Material: CsMo4P7O28
Method: DFT, PBE+U
State: relaxed

**ρ**: 3.06 g cm⁻³

The structure in POSCAR format:
```
CsMo4P7O28
1.0
-7.6232 5.9655 -1.2328
0.2371 -2.0192 10.8275
9.8864 8.0601 0.3997
O Mo P Cs
56 8 14 2
direct
0.4651 0.9408 0.6003 O
0.3184 0.3626 0.2283 O
0.4608 0.9449 0.0932 O
0.8460 0.1742 0.4462 O
0.8586 0.4911 0.2697 O
0.0732 0.3339 0.0378 O
0.9219 0.6679 0.4584 O
0.3395 0.3641 0.7107 O
0.8655 0.9246 0.4083 O
0.6426 0.5421 0.9631 O
0.4229 0.1922 0.1547 O
0.8421 0.3973 0.9631 O
0.5842 0.3618 0.3021 O
0.5659 0.8153 0.3589 O
0.4066 0.2164 0.8349 O
0.2775 0.0153 0.4333 O
0.6925 0.0162 0.2466 O
0.0156 0.6748 0.6611 O
0.5392 0.0551 0.9068 O
0.3075 0.9838 0.7534 O
0.1266 0.6917 0.8582 O
0.4341 0.1847 0.6411 O
0.9268 0.6661 0.9622 O
0.1579 0.6027 0.0369 O
0.9844 0.3252 0.3389 O
0.3506 0.4600 0.5073 O
0.3019 0.9726 0.2470 O
0.4158 0.6382 0.6979 O
0.8513 0.4038 0.4700 O
0.3709 0.2000 0.3416 O
0.6085 0.3661 0.7722 O
0.8734 0.3083 0.1418 O
0.8990 0.5120 0.7722 O
0.3915 0.6339 0.2278 O
0.1540 0.8258 0.5538 O
0.5934 0.7836 0.1651 O
0.6494 0.5401 0.4927 O
0.5349 0.0592 0.3997 O
0.8777 0.9351 0.9081 O
0.5771 0.8078 0.8453 O
0.0781 0.3321 0.5416 O
0.7225 0.9847 0.5667 O
0.2899 0.0579 0.9378 O
0.3574 0.4579 0.0369 O
0.6981 0.0274 0.7530 O
0.1414 0.5089 0.7303 O
0.1487 0.5962 0.5300 O
0.6605 0.6359 0.2893 O
0.1010 0.4881 0.2278 O
0.1632 0.8317 0.0324 O
0.6291 0.8000 0.6584 O
0.1223 0.0649 0.0919 O
0.1345 0.0754 0.5917 O
0.8368 0.1683 0.9676 O
0.7101 0.9421 0.0622 O
0.6816 0.6374 0.7717 O
0.2526 0.4811 0.1218 Mo
0.7235 0.9808 0.9092 Mo
0.7230 0.9894 0.4059 Mo
0.2765 0.0192 0.0908 Mo
0.7353 0.5187 0.3943 Mo
0.2770 0.0106 0.5941 Mo
0.2647 0.4813 0.6057 Mo
0.7474 0.5189 0.8782 Mo
0.0930 0.6978 0.9774 P
0.4269 0.2840 0.2526 P
0.5500 0.7139 0.2653 P
0.5731 0.7160 0.7474 P
0.6234 0.9437 0.6426 P
0.0634 0.6912 0.5475 P
0.9366 0.3088 0.4525 P
0.9070 0.3022 0.0226 P
0.6103 0.9291 0.1398 P
0.9574 0.4134 0.2456 P
0.4500 0.2861 0.7347 P
0.3897 0.0709 0.8602 P
0.3766 0.0563 0.3574 P
0.0426 0.5866 0.7544 P
0.9781 0.7933 0.2344 Cs
0.0219 0.2067 0.7656 Cs
```

=====

Material: CsMo2P3O13
Method: DFT, PBE+U
State: relaxed

**Excess energy over the best structure of this formula in the dataset**: 6 meV/atom
**ρ**: 3.36 g cm⁻³

The structure in POSCAR format:
```
CsMo2P3O13
1.0
6.4541 -0.0209 -0.0242
3.0699 9.4143 -0.0039
1.3294 0.8498 10.1588
P O Mo Cs
6 26 4 2
direct
0.7037 0.2761 0.6767 P
0.0095 0.3019 0.4445 P
0.2959 0.7249 0.3242 P
0.2959 0.0017 0.8625 P
0.9892 0.6988 0.5554 P
0.7044 0.9980 0.1363 P
0.2491 0.9767 0.0131 O
0.4635 0.3677 0.6902 O
0.9167 0.8297 0.6349 O
0.8349 0.3384 0.7558 O
0.0835 0.1719 0.3642 O
0.4699 0.0898 0.1817 O
0.1651 0.2837 0.5507 O
0.7739 0.3017 0.5213 O
0.9489 0.7477 0.9035 O
0.8575 0.0479 0.2106 O
0.1441 0.9500 0.7887 O
0.0216 0.5598 0.6405 O
0.2614 0.8836 0.2954 O
0.5305 0.9082 0.8175 O
0.8331 0.7176 0.4496 O
0.9742 0.4422 0.3617 O
0.0521 0.2519 0.0942 O
0.1636 0.6646 0.2439 O
0.8854 0.5590 0.1154 O
0.2753 0.1586 0.8172 O
0.2261 0.6959 0.4794 O
0.7382 0.1175 0.7075 O
0.1160 0.4410 0.8843 O
0.7249 0.8406 0.1806 O
0.7526 0.0217 0.9857 O
0.5361 0.6336 0.3097 O
0.1517 0.0910 0.1779 Mo
0.8480 0.9101 0.8210 Mo
0.1481 0.3618 0.7418 Mo
0.8516 0.6382 0.2580 Mo
0.5110 0.0075 0.4934 Cs
0.4827 0.5599 0.9655 Cs
```

=====

Material: CsMoP2O7
Method: DFT, PBE+U
State: relaxed

**ρ**: 3.82 g cm⁻³

The structure in POSCAR format:
```
CsMoP2O7
1.0
-2.0198 -0.5036 -10.4092
2.9400 -7.2993 -0.2173
-6.7601 -5.2028 1.5634
O P Cs Mo
28 8 4 4
direct
0.4095 0.8550 0.0038 O
0.5704 0.6097 0.2634 O
0.9095 0.1450 0.4962 O
0.5905 0.1450 0.9962 O
0.4296 0.3903 0.7366 O
0.2328 0.9168 0.2588 O
0.7309 0.4407 0.7680 O
0.2691 0.5593 0.2320 O
0.7328 0.0832 0.2412 O
0.5065 0.9915 0.2724 O
0.2672 0.9168 0.7588 O
0.9415 0.3155 0.7024 O
0.6020 0.3249 0.4854 O
0.8980 0.3249 0.9854 O
0.1020 0.6751 0.0146 O
0.2309 0.5593 0.7320 O
0.5585 0.3155 0.2024 O
0.4415 0.6845 0.7976 O
0.0585 0.6845 0.2976 O
0.0065 0.0085 0.2276 O
0.7672 0.0832 0.7412 O
0.0704 0.3903 0.2366 O
0.7691 0.4407 0.2680 O
0.0905 0.8550 0.5038 O
0.3980 0.6751 0.5146 O
0.9296 0.6097 0.7634 O
0.9935 0.9915 0.7724 O
0.4935 0.0085 0.7276 O
0.1288 0.5739 0.1862 P
0.3712 0.5739 0.6862 P
0.5990 0.1265 0.1735 P
0.6288 0.4261 0.3138 P
0.9010 0.1265 0.6735 P
0.8712 0.4261 0.8138 P
0.0990 0.8735 0.3265 P
0.4010 0.8735 0.8265 P
0.1914 0.1965 0.9482 Cs
0.6914 0.8035 0.5518 Cs
0.8086 0.8035 0.0518 Cs
0.3086 0.1965 0.4482 Cs
0.3985 0.7609 0.2567 Mo
0.6015 0.2391 0.7433 Mo
0.1015 0.7609 0.7567 Mo
0.8985 0.2391 0.2433 Mo
```

=====

| no. | total DFT energy (no corrections) (eV/atom) |
| --- | --- |
| 1 | -7.17 |
| 2 | -7.08 |
| 3 | -7.06 |